# ThTcRu

A relaxed ThTcRu crystal (PBE, Alexandria via LeMat-Bulk).

a = 7.7209 Å, b = 7.7209 Å, c = 5.0100 Å
α = 90.00°, β = 90.00°, γ = 155.72°
Closest atoms and distances in Å follow each position.
Sites, in units of the cell vectors:
Th 0.1616 0.8384 0.7500  5 Ru 2.77-2.99
Th 0.8384 0.1616 0.2500  5 Ru 2.77-2.99
Tc 0.5000 0.5000 0.0000  2 Tc 2.51, 2 Ru 2.65
Tc 0.5000 0.5000 0.5000  2 Tc 2.51, 2 Ru 2.65
Ru 0.3450 0.6550 0.7500  2 Tc 2.65, 1 Th 2.77
Ru 0.6550 0.3450 0.2500  2 Tc 2.65, 1 Th 2.77

Computed properties:
ΔH_f (0 K) = 280 meV/atom
V = 61.40 Å³/f.u.
E = -26.2 eV per formula unit
Total magnetic moment = 0.000 μB/atom